# BaFeO3 PBE with a Hubbard U optimized geometry
# DFT total energy, eV/atom: -4.1931
# Crystal system: cubic
data_BaFeO3
_chemical_formula_sum 'Ba1 Fe1 O3'
_space_group_name_H-M_alt 'P 1'
_space_group_IT_number 1
_cell_length_a 4.528
_cell_length_b 4.528
_cell_length_c 4.528
_cell_angle_alpha 90.00
_cell_angle_beta 90.00
_cell_angle_gamma 90.00
loop_
_space_group_symop_operation_xyz
'x,y,z'
loop_
_atom_site_label
_atom_site_type_symbol
_atom_site_fract_x
_atom_site_fract_y
_atom_site_fract_z
Ba1 Ba 0.000 0.000 0.000
Fe1 Fe 0.500 0.500 0.500
O1 O 0.000 0.000 0.500
O2 O 0.000 0.500 0.000
O3 O 0.500 0.000 0.000